A relaxed structure of Mg3Ga2Au, computed with PBE.

Output
The calculated total energy comes out at -2.602 eV per atom. Its density is 5.53 g cm⁻³. The energy of formation comes out at -0.25 eV per atom. The density of states at the Fermi level is 2.0 states/eV/f.u. Its magnetization is 0.000 μB per atom. The value obtained for the relative energy among the computed polymorphs is 0.24 eV per formula unit.

```
data_Mg3Ga2Au
_symmetry_space_group_name_H-M 'P 1 21/c 1'
_symmetry_Int_Tables_number 14
_cell_length_a 6.6548
_cell_length_b 9.9269
_cell_length_c 8.7601
_cell_angle_alpha 90.00
_cell_angle_beta 121.80
_cell_angle_gamma 90.00
loop_
_symmetry_equiv_pos_as_xyz
'x,y,z'
'-x,-y,-z'
'-x,y+1/2,-z+1/2'
'x,-y+1/2,z+1/2'
loop_
_atom_site_label
_atom_site_type_symbol
_atom_site_fract_x
_atom_site_fract_y
_atom_site_fract_z
_atom_site_occupancy
Mg1 Mg 0.1619 0.0871 0.4390 1
Mg2 Mg 0.2499 0.5875 0.6541 1
Mg3 Mg 0.2757 0.1101 0.8719 1
Ga1 Ga 0.2149 0.7138 0.9136 1
Ga2 Ga 0.3722 0.6233 0.2410 1
Au1 Au 0.1847 0.1822 0.1403 1
```

---

A relaxed structure of Pr3ErIn, computed with PBE.

Output
The calculated total energy comes out at -4.199 eV per atom. Its density is 6.87 g cm⁻³. The energy of formation comes out at 0.13 eV per atom. The density of states at the Fermi level is 7.0 states/eV/f.u. Its magnetization is 0.000 μB per atom. The value obtained for the relative energy among the computed polymorphs is 1.57 eV per formula unit.

```
data_Pr3ErIn
_symmetry_space_group_name_H-M 'I m a 2'
_symmetry_Int_Tables_number 46
_cell_length_a 11.4779
_cell_length_b 8.4362
_cell_length_c 7.0421
_cell_angle_alpha 90.00
_cell_angle_beta 90.00
_cell_angle_gamma 90.00
loop_
_symmetry_equiv_pos_as_xyz
'x,y,z'
'-x,-y,z'
'-x+1/2,y,z'
'x+1/2,-y,z'
'x+1/2,y+1/2,z+1/2'
'-x+1/2,-y+1/2,z+1/2'
'-x,y+1/2,z+1/2'
'x,-y+1/2,z+1/2'
loop_
_atom_site_label
_atom_site_type_symbol
_atom_site_fract_x
_atom_site_fract_y
_atom_site_fract_z
_atom_site_occupancy
Pr1 Pr 0.0260 0.2457 0.0000 1
Pr2 Pr 0.2500 0.0684 0.7698 1
Er1 Er 0.2500 0.7483 0.5584 1
In1 In 0.2500 0.0563 0.2822 1
```

---

A relaxed structure of Hf2TiTlSe, computed with PBE.

Output
The value obtained for the formation energy from raw total energies is 0.75 eV per atom. The calculated total energy comes out at -5.985 eV per atom. Its density is 8.88 g cm⁻³. The density of states at the Fermi level is 3.4 states/eV/f.u. Its magnetization is 0.000 μB per atom. The value obtained for the relative energy among the computed polymorphs is 0.81 eV per formula unit.

```
data_Hf2TiTlSe
_symmetry_space_group_name_H-M 'P 4/m m m'
_symmetry_Int_Tables_number 123
_symmetry_space_group_name_Hall '-P 4 2'
_cell_length_a 4.9477
_cell_length_b 4.9477
_cell_length_c 5.2599
_cell_angle_alpha 90.00
_cell_angle_beta 90.00
_cell_angle_gamma 90.00
loop_
_atom_site_label
_atom_site_type_symbol
_atom_site_fract_x
_atom_site_fract_y
_atom_site_fract_z
_atom_site_occupancy
Hf1 Hf 0.0000 0.5000 0.0000 1
Ti1 Ti 0.0000 0.0000 0.0000 1
Tl1 Tl 0.0000 0.0000 0.5000 1
Se1 Se 0.5000 0.5000 0.5000 1
```

---

A relaxed structure of Li2MgCd, computed with PBE.

Output
The calculated total energy comes out at -1.714 eV per atom. Its density is 3.15 g cm⁻³. The energy of formation comes out at -0.13 eV per atom. The density of states at the Fermi level is 1.1 states/eV/f.u. Its magnetization is 0.000 μB per atom. The value obtained for the relative energy among the computed polymorphs is 0.19 eV per formula unit.

```
data_Li2MgCd
_symmetry_space_group_name_H-M 'C 1 2/m 1'
_symmetry_Int_Tables_number 12
_cell_length_a 5.8415
_cell_length_b 9.6068
_cell_length_c 3.0318
_cell_angle_alpha 90.00
_cell_angle_beta 110.97
_cell_angle_gamma 90.00
loop_
_symmetry_equiv_pos_as_xyz
'x,y,z'
'-x,-y,-z'
'-x,y,-z'
'x,-y,z'
'x+1/2,y+1/2,z'
'-x+1/2,-y+1/2,-z'
'-x+1/2,y+1/2,-z'
'x+1/2,-y+1/2,z'
loop_
_atom_site_label
_atom_site_type_symbol
_atom_site_fract_x
_atom_site_fract_y
_atom_site_fract_z
_atom_site_occupancy
Li1 Li 0.2500 0.2500 0.0000 1
Mg1 Mg 0.0000 0.0000 0.5000 1
Cd1 Cd 0.0000 0.5000 0.5000 1
```

---

A relaxed structure of Rb2TiMoBr6, computed with PBE.

Output
The value obtained for the formation energy from raw total energies is -0.86 eV per atom. The calculated total energy comes out at -3.926 eV per atom. Its density is 4.50 g cm⁻³. The density of states at the Fermi level is 13.5 states/eV/f.u. Its magnetization is 0.000 μB per atom.

```
data_Rb2TiMoBr6
_symmetry_space_group_name_H-M 'F m -3 m'
_symmetry_Int_Tables_number 225
_symmetry_space_group_name_Hall '-F 4 2 3'
_cell_length_a 10.5402
_cell_length_b 10.5402
_cell_length_c 10.5402
_cell_angle_alpha 90.00
_cell_angle_beta 90.00
_cell_angle_gamma 90.00
loop_
_atom_site_label
_atom_site_type_symbol
_atom_site_fract_x
_atom_site_fract_y
_atom_site_fract_z
_atom_site_occupancy
Rb1 Rb 0.2500 0.2500 0.2500 1
Ti1 Ti 0.0000 0.0000 0.0000 1
Mo1 Mo 0.0000 0.0000 0.5000 1
Br1 Br 0.0000 0.0000 0.2493 1
```